Compound: Cu2TcPd
Source: Alexandria via LeMat-Bulk
Functional: PBEsol
Structure: optimized geometry

a b c (Å): 5.9013 5.9013 5.9013
angles (deg): 90.00 90.00 90.00
Space group Fm-3m (No. 225)
Unique sites:
Cu1 0.2500 0.2500 0.2500 [8 per cell]
Tc1 0.0000 0.0000 0.0000 [4 per cell]
Pd1 0.0000 0.0000 0.5000 [4 per cell]

Output
Magnetic moment: 5.03 Bohr magnetons per cell
Energy of formation from the pure elements: 0.2954 eV/atom
Electronic total energy: -6.18 eV per atom